# 1
Here is a relaxed NaF5 crystal from Alexandria. Energies are from PBE.

E in eV for the cell shown: -29.3
Formation energy from raw total energies in eV/atom: -0.659
Polymorph energy (0 for the lowest one) in meV per atom: 222
ρ in kg/m3: 2553

a b c (Å): 3.3814 12.6360 3.5921
angles (deg): 90.00 90.00 90.00
With the nearest neighbours (Å) after each atom.
Element x y z (fractional)
Na (0.0000, 0.0000, 0.0000)  4 F 2.20
Na (0.5000, 0.5000, 0.0000)  4 F 2.20
F (0.0000, 0.2318, 0.5000)  2 F 1.75
F (0.0000, 0.3884, 0.0000)  2 Na 2.20, 2 F 2.28
F (0.0000, 0.5000, 0.5000)  4 F 2.28, 4 Na 2.47
F (0.0000, 0.6116, 0.0000)  2 Na 2.20, 2 F 2.28
F (0.0000, 0.7682, 0.5000)  2 F 1.75
F (0.5000, 0.0000, 0.5000)  4 F 2.28, 4 Na 2.47
F (0.5000, 0.1116, 0.0000)  2 Na 2.20, 2 F 2.28
F (0.5000, 0.2682, 0.5000)  2 F 1.75
F (0.5000, 0.7318, 0.5000)  2 F 1.75
F (0.5000, 0.8884, 0.0000)  2 Na 2.20, 2 F 2.28



# 2
Here is a relaxed Te2PdRh2 crystal from Alexandria. Energies are from PBE.

E in eV for the cell shown: -54.9
Formation energy from raw total energies in eV/atom: -0.251
ρ in kg/m3: 9181

a b c (Å): 5.7594 5.8378 6.9397
angles (deg): 108.68 110.35 90.62
With the nearest neighbours (Å) after each atom.
Element x y z (fractional)
Te (0.0991, 0.3924, 0.2016)  4 Rh 2.63-2.67, 1 Pd 2.73
Te (0.3925, 0.0906, 0.6984)  4 Rh 2.58-2.66, 1 Pd 2.63
Te (0.6075, 0.9094, 0.3016)  4 Rh 2.58-2.66, 1 Pd 2.63
Te (0.9009, 0.6076, 0.7984)  4 Rh 2.63-2.67, 1 Pd 2.73
Pd (0.4275, 0.5667, 0.7965)  2 Te 2.63-2.73, 3 Rh 2.81-2.84
Pd (0.5725, 0.4333, 0.2035)  2 Te 2.63-2.73, 3 Rh 2.81-2.84
Rh (0.0153, 0.7490, 0.5138)  4 Te 2.58-2.67, 1 Pd 2.84, 1 Rh 2.85
Rh (0.2452, 0.9917, 0.9865)  4 Te 2.62-2.66, 2 Pd 2.81, 3 Rh 2.87-2.91
Rh (0.7548, 0.0083, 0.0135)  4 Te 2.62-2.66, 2 Pd 2.81, 3 Rh 2.87-2.91
Rh (0.9847, 0.2510, 0.4862)  4 Te 2.58-2.67, 1 Pd 2.84, 1 Rh 2.85